A plane-wave DFT calculation with GGA-PBE was carried out for a geometry-optimized Np3TiS6 structure.

Cell lengths 7.679, 7.679, 7.679 Å; angles 98.52, 98.52, 98.52 degrees
Element x y z (fractional)
Np: 0.128 0.795 0.617
Np: 0.205 0.383 0.872
Np: 0.383 0.872 0.205
Np: 0.617 0.128 0.795
Np: 0.795 0.617 0.128
Np: 0.872 0.205 0.383
Ti: 0.000 0.000 0.000
Ti: 0.500 0.500 0.500
S: 0.066 0.692 0.928
S: 0.072 0.934 0.308
S: 0.185 0.434 0.527
S: 0.308 0.072 0.934
S: 0.434 0.527 0.185
S: 0.473 0.815 0.566
S: 0.527 0.185 0.434
S: 0.566 0.473 0.815
S: 0.692 0.928 0.066
S: 0.815 0.566 0.473
S: 0.928 0.066 0.692
S: 0.934 0.308 0.072

Results
- E_tot: -8.51 eV per atom